--- w ---
KRhCl: optimized geometry, GGA-PBE.

The total moment comes out at 0.36 μB per cell.

Structure (POSCAR):
```
KRhCl
1.0
0.000 2.513 5.586
2.506 0.000 5.586
2.506 2.513 0.000
K Rh Cl
1 1 1
direct
0.000 0.000 0.000
0.725 0.725 0.275
0.266 0.266 0.734
```

***

--- x ---
KRhCl: optimized geometry, GGA-PBE.

The total moment comes out at 1.05 μB per cell.

Structure (POSCAR):
```
KRhCl
1.0
0.000 3.329 3.329
3.329 0.000 3.329
3.329 3.329 0.000
K Rh Cl
1 1 1
direct
0.000 0.000 0.000
0.750 0.750 0.750
0.500 0.500 0.500
```

***

Least stable of them? x.

***

--- w ---
KRhCl: optimized geometry, GGA-PBE.

The total moment comes out at 0.00 μB per cell.

Structure (POSCAR):
```
KRhCl
1.0
4.119 0.000 0.000
-2.059 3.567 0.000
0.000 0.000 4.915
K Rh Cl
1 1 1
direct
0.000 0.000 0.000
0.667 0.333 0.500
0.333 0.667 0.500
```

***

--- x ---
KRhCl: optimized geometry, GGA-PBE.

The total moment comes out at 1.16 μB per cell.

Structure (POSCAR):
```
KRhCl
1.0
0.000 3.541 3.541
3.541 0.000 3.541
3.541 3.541 0.000
K Rh Cl
1 1 1
direct
0.000 0.000 0.000
0.750 0.750 0.750
0.250 0.250 0.250
```

***

Least stable of them? x.

***

--- w ---
KRhCl: optimized geometry, GGA-PBE.

The total moment comes out at 1.12 μB per cell.

Structure (POSCAR):
```
KRhCl
1.0
0.000 3.374 3.374
3.374 0.000 3.374
3.374 3.374 0.000
K Rh Cl
1 1 1
direct
0.000 0.000 0.000
0.500 0.500 0.500
0.250 0.250 0.250
```

***

--- x ---
KRhCl: optimized geometry, GGA-PBE.

The total moment comes out at 0.58 μB per cell.

Structure (POSCAR):
```
KRhCl
1.0
-1.570 2.625 4.569
1.570 -2.625 4.569
1.570 2.625 -4.569
K Rh Cl
1 1 1
direct
0.000 0.000 0.000
0.624 0.624 0.000
0.375 0.375 0.000
```

***

Least stable of them? w.

***

--- w ---
KRhCl4: optimized geometry, GGA-PBE.

The total moment comes out at 0.00 μB per cell.

Structure (POSCAR):
```
KRhCl4
1.0
5.916 0.000 0.000
-0.001 6.514 0.000
-2.950 -2.267 7.579
K Rh Cl
2 2 8
direct
0.190 0.250 0.001
0.810 0.750 0.999
0.000 0.500 0.500
0.500 0.000 0.500
0.127 0.154 0.409
0.251 0.578 0.801
0.283 0.654 0.409
0.450 0.922 0.199
0.550 0.078 0.801
0.717 0.346 0.591
0.749 0.422 0.199
0.873 0.846 0.591
```

***

--- x ---
KRhCl4: optimized geometry, GGA-PBE.

The total moment comes out at 0.00 μB per cell.

Structure (POSCAR):
```
KRhCl4
1.0
4.578 -6.047 0.000
4.578 6.047 0.000
-2.783 0.000 6.661
K Rh Cl
2 2 8
direct
0.137 0.863 0.750
0.863 0.137 0.250
0.500 0.500 0.250
0.500 0.500 0.750
0.219 0.222 0.612
0.222 0.219 0.112
0.371 0.628 0.501
0.372 0.629 0.999
0.628 0.371 0.001
0.629 0.372 0.499
0.778 0.781 0.888
0.781 0.778 0.388
```

***

--- y ---
KRhCl4: optimized geometry, GGA-PBE.

The total moment comes out at 4.06 μB per cell.

Structure (POSCAR):
```
KRhCl4
1.0
0.000 4.293 4.293
4.293 0.000 4.293
4.293 4.293 0.000
K Rh Cl
1 1 4
direct
0.000 0.000 0.000
0.750 0.750 0.750
0.376 0.376 0.376
0.376 0.376 0.872
0.376 0.872 0.376
0.872 0.376 0.376
```

***

Least stable of them? y.

***

--- w ---
KRu2Cl: optimized geometry, GGA-PBE.

The total moment comes out at 0.00 μB per cell.

Structure (POSCAR):
```
KRu2Cl
1.0
2.987 0.000 0.000
0.000 3.320 0.000
-1.493 0.000 8.089
K Ru Cl
1 2 1
direct
0.000 0.000 0.000
0.242 0.000 0.489
0.669 0.500 0.341
0.372 0.500 0.745
```

***

--- x ---
KRu2Cl: optimized geometry, GGA-PBE.

The total moment comes out at 0.00 μB per cell.

Structure (POSCAR):
```
KRu2Cl
1.0
0.000 3.302 3.302
3.302 0.000 3.302
3.302 3.302 0.000
K Ru Cl
1 2 1
direct
0.000 0.000 0.000
0.250 0.250 0.250
0.500 0.500 0.500
0.750 0.750 0.750
```

***

Least stable of them? x.

***

--- w ---
KRu2Cl: optimized geometry, GGA-PBE.

The total moment comes out at 0.00 μB per cell.

Structure (POSCAR):
```
KRu2Cl
1.0
3.362 -1.811 0.000
3.362 1.811 0.000
-2.571 0.000 7.787
K Ru Cl
1 2 1
direct
0.000 0.000 0.000
0.173 0.173 0.650
0.451 0.451 0.528
0.785 0.785 0.278
```

***

--- x ---
KRu2Cl: optimized geometry, GGA-PBE.

The total moment comes out at 1.59 μB per cell.

Structure (POSCAR):
```
KRu2Cl
1.0
3.257 0.000 0.000
0.000 6.602 0.000
-0.014 0.000 4.286
K Ru Cl
1 2 1
direct
0.000 0.000 0.000
0.331 0.500 0.247
0.669 0.500 0.753
0.500 0.000 0.500
```

***

--- y ---
KRu2Cl: optimized geometry, GGA-PBE.

The total moment comes out at 0.16 μB per cell.

Structure (POSCAR):
```
KRu2Cl
1.0
2.565 0.000 0.000
0.000 5.175 0.000
0.000 0.000 6.869
K Ru Cl
1 2 1
direct
0.000 0.000 0.000
0.500 0.252 0.500
0.500 0.748 0.500
0.000 0.500 0.000
```

***

Least stable of them? y.

***

--- w ---
KRu2Cl: optimized geometry, GGA-PBE.

The total moment comes out at 0.05 μB per cell.

Structure (POSCAR):
```
KRu2Cl
1.0
6.078 -1.436 0.000
6.078 1.436 0.000
-1.801 0.000 4.339
K Ru Cl
1 2 1
direct
0.000 0.000 0.000
0.215 0.215 0.674
0.785 0.785 0.326
0.500 0.500 0.500
```

***

--- x ---
KRu2Cl: optimized geometry, GGA-PBE.

The total moment comes out at 1.21 μB per cell.

Structure (POSCAR):
```
KRu2Cl
1.0
-1.805 3.200 4.559
1.805 -3.200 4.559
1.805 3.200 -4.559
K Ru Cl
1 2 1
direct
0.000 0.000 0.000
0.360 0.860 0.500
0.517 0.517 0.000
0.714 0.214 0.500
```

***

Least stable of them? x.

***

--- w ---
KRu2Cl: optimized geometry, GGA-PBE.

The total moment comes out at 0.20 μB per cell.

Structure (POSCAR):
```
KRu2Cl
1.0
-2.427 2.427 8.209
2.427 -2.427 8.209
2.427 2.427 -8.209
K Ru Cl
2 4 2
direct
0.375 0.625 0.750
0.625 0.375 0.250
0.000 0.000 0.000
0.000 0.000 0.500
0.000 0.500 0.000
0.500 0.000 0.500
0.125 0.875 0.250
0.875 0.125 0.750
```

***

--- x ---
KRu2Cl: optimized geometry, GGA-PBE.

The total moment comes out at 0.00 μB per cell.

Structure (POSCAR):
```
KRu2Cl
1.0
3.075 0.000 0.000
0.000 3.149 0.000
0.000 0.000 8.236
K Ru Cl
1 2 1
direct
0.000 0.000 0.000
0.000 0.000 0.492
0.500 0.500 0.343
0.500 0.500 0.750
```

***

--- y ---
KRu2Cl: optimized geometry, GGA-PBE.

The total moment comes out at 2.11 μB per cell.

Structure (POSCAR):
```
KRu2Cl
1.0
2.989 0.000 0.000
0.000 2.989 0.000
0.000 0.000 8.567
K Ru Cl
1 2 1
direct
0.000 0.000 0.000
0.500 0.500 0.327
0.500 0.500 0.673
0.000 0.000 0.500
```

***

Least stable of them? y.

***

--- w ---
KRu2Cl: optimized geometry, GGA-PBE.

The total moment comes out at 0.25 μB per cell.

Structure (POSCAR):
```
KRu2Cl
1.0
2.580 -6.966 0.000
2.580 6.966 0.000
0.000 0.000 2.573
K Ru Cl
1 2 1
direct
0.000 0.000 0.000
0.000 0.500 0.500
0.500 0.000 0.500
0.500 0.500 0.000
```

***

--- x ---
KRu2Cl: optimized geometry, GGA-PBE.

The total moment comes out at 4.44 μB per cell.

Structure (POSCAR):
```
KRu2Cl
1.0
0.000 3.404 3.404
3.404 0.000 3.404
3.404 3.404 0.000
K Ru Cl
1 2 1
direct
0.000 0.000 0.000
0.250 0.250 0.250
0.750 0.750 0.750
0.500 0.500 0.500
```

***

Least stable of them? x.

***

--- w ---
KRu2Cl: optimized geometry, GGA-PBE.

The total moment comes out at 1.55 μB per cell.

Structure (POSCAR):
```
KRu2Cl
1.0
2.612 -7.306 0.000
2.612 7.306 0.000
-2.589 0.000 2.620
K Ru Cl
1 2 1
direct
0.000 0.000 0.000
0.000 0.500 0.000
0.500 0.000 0.000
0.500 0.500 0.000
```

***

--- x ---
KRu2Cl: optimized geometry, GGA-PBE.

The total moment comes out at 0.00 μB per cell.

Structure (POSCAR):
```
KRu2Cl
1.0
1.456 -2.573 0.000
1.456 2.573 0.000
0.000 0.000 9.701
K Ru Cl
1 2 1
direct
0.000 0.000 0.000
0.500 0.500 0.298
0.500 0.500 0.702
0.000 0.000 0.500
```

***

--- y ---
KRu2Cl: optimized geometry, GGA-PBE.

The total moment comes out at 1.44 μB per cell.

Structure (POSCAR):
```
KRu2Cl
1.0
1.466 0.846 9.680
-1.466 0.846 9.680
0.000 -1.692 9.680
K Ru Cl
1 2 1
direct
0.000 0.000 0.000
0.233 0.233 0.233
0.767 0.767 0.767
0.500 0.500 0.500
```

***

Least stable of them? x.

***

--- w ---
KRuCl3: optimized geometry, GGA-PBE.

The total moment comes out at 4.00 μB per cell.

Structure (POSCAR):
```
KRuCl3
1.0
5.569 0.000 0.000
0.000 5.569 0.000
0.000 0.000 5.569
K Ru Cl
1 1 3
direct
0.000 0.000 0.000
0.500 0.500 0.500
0.000 0.000 0.500
0.000 0.500 0.000
0.500 0.000 0.000
```

***

--- x ---
KRuCl3: optimized geometry, GGA-PBE.

The total moment comes out at 1.63 μB per cell.

Structure (POSCAR):
```
KRuCl3
1.0
4.936 0.000 0.000
0.000 4.936 0.000
0.000 0.000 4.936
K Ru Cl
1 1 3
direct
0.000 0.000 0.000
0.500 0.500 0.500
0.000 0.500 0.500
0.500 0.000 0.500
0.500 0.500 0.000
```

***

Least stable of them? w.

***

--- w ---
KRuCl4: optimized geometry, GGA-PBE.

The total moment comes out at 5.04 μB per cell.

Structure (POSCAR):
```
KRuCl4
1.0
0.000 4.284 4.284
4.284 0.000 4.284
4.284 4.284 0.000
K Ru Cl
1 1 4
direct
0.000 0.000 0.000
0.750 0.750 0.750
0.376 0.376 0.376
0.376 0.376 0.873
0.376 0.873 0.376
0.873 0.376 0.376
```

***

--- x ---
KRuCl4: optimized geometry, GGA-PBE.

The total moment comes out at 1.00 μB per cell.

Structure (POSCAR):
```
KRuCl4
1.0
5.785 -1.861 0.000
5.785 1.861 0.000
-2.683 0.000 7.408
K Ru Cl
1 1 4
direct
0.000 0.000 0.000
0.500 0.500 0.500
0.113 0.113 0.441
0.368 0.368 0.194
0.632 0.632 0.806
0.887 0.887 0.559
```

***

Least stable of them? w.